<a>
An optimized crystal structure of CaLaMo2. Source: Alexandria via LeMat-Bulk, functional GGA-PBE.

Output
Density of states at the Fermi level in states/eV/f.u.: 4.18
Total moment in μB/f.u.: 0.0

Lattice parameters (Å, degrees): 4.136 4.136 5.106 90.00 90.00 90.00
Fractional coordinates of all 4 atoms:
Ca 0.000 0.000 0.000
La 0.500 0.500 0.000
Mo 0.000 0.500 0.500
Mo 0.500 0.000 0.500

***

<b>
An optimized crystal structure of CaLaMo2. Source: Alexandria via LeMat-Bulk, functional GGA-PBE.

Output
Density of states at the Fermi level in states/eV/f.u.: 4.58
Total moment in μB/f.u.: 0.0

Lattice parameters (Å, degrees): 2.863 2.863 10.572 90.00 90.00 90.00
Fractional coordinates of all 4 atoms:
Ca 0.000 0.000 0.000
La 0.000 0.000 0.500
Mo 0.500 0.500 0.246
Mo 0.500 0.500 0.754

***

<c>
An optimized crystal structure of CaLaMo2. Source: Alexandria via LeMat-Bulk, functional GGA-PBE.

Output
Density of states at the Fermi level in states/eV/f.u.: 5.58
Total moment in μB/f.u.: 0.0

Lattice parameters (Å, degrees): 2.878 5.092 6.280 90.00 90.00 90.00
Fractional coordinates of all 4 atoms:
Ca 0.000 0.000 0.000
La 0.000 0.000 0.500
Mo 0.500 0.500 0.198
Mo 0.500 0.500 0.802

***

We find <c> to be the most stable, with the next structure 48 meV per atom higher.